(1)
The following is a DFT calculation (GGA-PBE) of a relaxed In2TcSb crystal.

Summary:
Magnetic moment in μB per atom: 0.00
Energy relative to the elements, uncorrected in kJ/mol of formula units: 132
Calculated volume in Å³ per cell: 89.7
VASP energy in eV per cell: -18.59

abc: 3.1814 3.1814 8.8668
angles: 90.00 90.00 90.00
Space group P4/mmm (No. 123)
Symmetry-distinct sites (fractional):
In (0.0000, 0.0000, 0.1923)
Tc (0.5000, 0.5000, 0.0000)
Sb (0.5000, 0.5000, 0.5000)

(2)
The following is a DFT calculation (GGA-PBE) of a relaxed LaY7Er3 crystal.

Summary:
Magnetic moment in μB per atom: 0.00
Calculated volume in Å³ per cell: 364.2
DFT formation energy in eV per atom: 0.1421
VASP energy in eV per cell: -62.30

abc: 6.9251 5.5826 9.9356
angles: 90.00 108.52 90.00
Space group P2/m (No. 10)
Symmetry-distinct sites (fractional):
La (0.0000, 0.0000, 0.0000)
Y (0.0000, 0.0000, 0.5000)
Y (0.1473, 0.5000, 0.7878)
Y (0.3266, 0.5000, 0.1406)
Y (0.4304, 0.0000, 0.3321)
Er (0.2746, 0.5000, 0.4939)
Er (0.5000, 0.0000, 0.0000)

(3)
The following is a DFT calculation (GGA-PBE) of a relaxed KIn2Ga6 crystal.

Summary:
Magnetic moment in μB per atom: 0.00
Calculated volume in Å³ per cell: 219.9
DFT formation energy in eV per atom: -0.0338
VASP energy in eV per cell: -25.04

abc: 4.9105 4.9105 9.1178
angles: 90.00 90.00 90.00
Space group P4/mmm (No. 123)
Symmetry-distinct sites (fractional):
K (0.0000, 0.0000, 0.0000)
In (0.5000, 0.5000, 0.1693)
Ga (0.0000, 0.0000, 0.5000)
Ga (0.0000, 0.5000, 0.3359)
Ga (0.5000, 0.5000, 0.5000)

(4)
The following is a DFT calculation (GGA-PBE) of a relaxed MoPtSe2 crystal.

Summary:
Magnetic moment in μB per atom: 0.00
Energy relative to the elements, uncorrected in kJ/mol of formula units: 5
Calculated volume in Å³ per cell: 209.0
VASP energy in eV per cell: -71.38

abc: 3.1586 3.1586 24.1925
angles: 90.00 90.00 120.00
Space group R-3m (No. 166, hexagonal axes)
Symmetry-distinct sites (fractional):
Mo (0.0000, 0.0000, 0.0000)
Pt (0.0000, 0.0000, 0.5000)
Se (0.0000, 0.0000, 0.2585)

(5)
The following is a DFT calculation (GGA-PBE) of a relaxed Ga2Cu2Ge crystal.

Summary:
Magnetic moment in μB per atom: 0.00
Calculated volume in Å³ per cell: 156.1
DFT formation energy in eV per atom: 0.0793
VASP energy in eV per cell: -36.93

abc: 7.6183 7.6183 2.6904
angles: 90.00 90.00 90.00
Space group P4/mbm (No. 127)
Symmetry-distinct sites (fractional):
Ga (0.1326, 0.3674, 0.0000)
Cu (0.1652, 0.6652, 0.5000)
Ge (0.0000, 0.0000, 0.0000)

(6)
The following is a DFT calculation (GGA-PBE) of a relaxed Sm5Dy2HoEr crystal.

Summary:
Magnetic moment in μB per atom: 0.00
Calculated volume in Å³ per cell: 1204.2
DFT formation energy in eV per atom: 0.1467
VASP energy in eV per cell: -162.48

abc: 5.6168 20.1651 10.6323
angles: 90.00 90.00 90.00
Space group Cmc2_1 (No. 36)
Symmetry-distinct sites (fractional):
Sm (0.0000, 0.0168, 0.0000)
Sm (0.0000, 0.2803, 0.2915)
Sm (0.0000, 0.2986, 0.6874)
Sm (0.0000, 0.3865, 0.0027)
Sm (0.0000, 0.4815, 0.7230)
Dy (0.0000, 0.1115, 0.7184)
Dy (0.0000, 0.1147, 0.2941)
Ho (0.0000, 0.1991, 0.9912)
Er (0.0000, 0.4095, 0.4413)

(7)
The following is a DFT calculation (GGA-PBE) of a relaxed Er3ZnPt3 crystal.

Summary:
Magnetic moment in μB per atom: 0.00
Calculated volume in Å³ per cell: 348.1
DFT formation energy in eV per atom: -0.9017
VASP energy in eV per cell: -78.79

abc: 8.4827 8.4827 5.5852
angles: 90.00 90.00 120.00
Space group P6_3/m (No. 176)
Symmetry-distinct sites (fractional):
Er (0.0296, 0.7035, 0.2500)
Zn (0.3333, 0.6667, 0.7500)
Pt (0.0322, 0.6647, 0.7500)

(8)
The following is a DFT calculation (GGA-PBE) of a relaxed PmHo2Cu9 crystal.

Summary:
Magnetic moment in μB per atom: 0.00
Calculated volume in Å³ per cell: 580.1
DFT formation energy in eV per atom: -0.1970
VASP energy in eV per cell: -159.41

abc: 5.1980 5.1980 24.7919
angles: 90.00 90.00 120.00
Space group R-3m (No. 166, hexagonal axes)
Symmetry-distinct sites (fractional):
Pm (0.0000, 0.0000, 0.0000)
Ho (0.0000, 0.0000, 0.1429)
Cu (0.0000, 0.0000, 0.3323)
Cu (0.0000, 0.0000, 0.5000)
Cu (0.0005, 0.5003, 0.0827)

(9)
The following is a DFT calculation (GGA-PBE) of a relaxed Rb2LaHgF8 crystal.

Summary:
Magnetic moment in μB per atom: 0.07
Energy relative to the elements, uncorrected in kJ/mol of formula units: -3117
Calculated volume in Å³ per cell: 226.9
VASP energy in eV per cell: -54.44

abc: 4.1534 6.5678 8.3601
angles: 85.36 89.15 86.50
Space group P-1 (No. 2)
Symmetry-distinct sites (fractional):
Rb (0.0017, 0.0007, 0.2523)
La (0.5000, 0.5000, 0.0000)
Hg (0.5000, 0.5000, 0.5000)
F (0.0009, 0.2990, 0.9723)
F (0.0868, 0.6961, 0.5190)
F (0.4569, 0.3216, 0.7245)
F (0.4736, 0.2728, 0.2241)

(10)
The following is a DFT calculation (GGA-PBE) of a relaxed OsSe crystal.

Summary:
Magnetic moment in μB per atom: 0.00
Energy relative to the elements, uncorrected in kJ/mol of formula units: 69
Calculated volume in Å³ per cell: 242.0
VASP energy in eV per cell: -84.02

abc: 13.1966 2.9785 6.4626
angles: 90.00 107.68 90.00
Space group Cm (No. 8)
Symmetry-distinct sites (fractional):
Os (0.0000, 0.0000, 0.0000)
Os (0.0131, 0.5000, 0.6559)
Os (0.1734, 0.0000, 0.8645)
Se (0.1732, 0.5000, 0.1744)
Se (0.3480, 0.0000, 0.8102)
Se (0.4442, 0.5000, 0.3407)

(11)
The following is a DFT calculation (GGA-PBE) of a relaxed CaNi3 crystal.

Summary:
Magnetic moment in μB per atom: 0.19
Calculated volume in Å³ per cell: 116.1
DFT formation energy in eV per atom: 0.2238
VASP energy in eV per cell: -36.90

abc: 2.8664 4.4774 9.0460
angles: 90.00 90.00 90.00
Space group Immm (No. 71)
Symmetry-distinct sites (fractional):
Ca (0.0000, 0.0000, 0.0000)
Ni (0.0000, 0.0000, 0.5000)
Ni (0.0000, 0.5000, 0.2215)

(12)
The following is a DFT calculation (GGA-PBE) of a relaxed UInPbO6 crystal.

Summary:
Magnetic moment in μB per atom: 0.00
Energy relative to the elements, uncorrected in kJ/mol of formula units: -1721
Calculated volume in Å³ per cell: 275.8
VASP energy in eV per cell: -130.64

abc: 5.6485 5.6485 9.9816
angles: 90.00 90.00 120.00
Space group P-31c (No. 163)
Symmetry-distinct sites (fractional):
U (0.3333, 0.6667, 0.2500)
In (0.3333, 0.6667, 0.7500)
Pb (0.0000, 0.0000, 0.0000)
O (0.0143, 0.3602, 0.1369)

(13)
The following is a DFT calculation (GGA-PBE) of a relaxed NaAsRuO4 crystal.

Summary:
Magnetic moment in μB per atom: 0.28
Energy relative to the elements, uncorrected in kJ/mol of formula units: -717
Calculated volume in Å³ per cell: 393.2
VASP energy in eV per cell: -170.03

abc: 6.4112 10.0563 6.0990
angles: 90.00 90.00 90.00
Space group Cmcm (No. 63)
Symmetry-distinct sites (fractional):
Na (0.0000, 0.1334, 0.2500)
As (0.0000, 0.1923, 0.7500)
Ru (0.0000, 0.5000, 0.0000)
O (0.0000, 0.2944, 0.5186)
O (0.2040, 0.4909, 0.2500)

(14)
The following is a DFT calculation (GGA-PBE) of a relaxed Sr2CrI crystal.

Summary:
Magnetic moment in μB per atom: 1.25
Energy relative to the elements, uncorrected in kJ/mol of formula units: 23
Calculated volume in Å³ per cell: 678.3
VASP energy in eV per cell: -57.18

abc: 8.9435 8.9435 8.4797
angles: 90.00 90.00 90.00
Space group I-42d (No. 122)
Symmetry-distinct sites (fractional):
Sr (0.2448, 0.2500, 0.1250)
Cr (0.0000, 0.0000, 0.0000)
I (0.0000, 0.0000, 0.5000)

(15)
The following is a DFT calculation (GGA-PBE) of a relaxed LaSm14Th crystal.

Summary:
Magnetic moment in μB per atom: 0.00
Calculated volume in Å³ per cell: 543.2
DFT formation energy in eV per atom: 0.0255
VASP energy in eV per cell: -78.01

abc: 7.2651 7.2651 10.2908
angles: 90.00 90.00 90.00
Space group P4/mmm (No. 123)
Symmetry-distinct sites (fractional):
La (0.0000, 0.0000, 0.0000)
Sm (0.0000, 0.0000, 0.5000)
Sm (0.0000, 0.5000, 0.0000)
Sm (0.0000, 0.5000, 0.5000)
Sm (0.2535, 0.2535, 0.2495)
Sm (0.5000, 0.5000, 0.5000)
Th (0.5000, 0.5000, 0.0000)

(16)
The following is a DFT calculation (GGA-PBE) of a relaxed ZrTlNi3 crystal.

Summary:
Magnetic moment in μB per atom: 0.00
Calculated volume in Å³ per cell: 104.3
DFT formation energy in eV per atom: 1.0068
VASP energy in eV per cell: -23.22

abc: 4.7078 4.7078 4.7078
angles: 90.00 90.00 90.00
Space group Pm-3m (No. 221)
Symmetry-distinct sites (fractional):
Zr (0.0000, 0.0000, 0.0000)
Tl (0.5000, 0.5000, 0.5000)
Ni (0.0000, 0.0000, 0.5000)

(17)
The following is a DFT calculation (GGA-PBE) of a relaxed CsMnAs2Au crystal.

Summary:
Magnetic moment in μB per atom: 0.60
Calculated volume in Å³ per cell: 549.6
DFT formation energy in eV per atom: -0.2521
VASP energy in eV per cell: -95.44

abc: 6.0032 15.3363 5.9691
angles: 90.00 90.00 90.00
Space group Cmme (No. 67)
Symmetry-distinct sites (fractional):
Cs (0.0000, 0.2500, 0.2127)
Mn (0.2500, 0.0000, 0.5000)
As (0.0000, 0.1041, 0.6732)
Au (0.0000, 0.0000, 0.0000)

(18)
The following is a DFT calculation (GGA-PBE) of a relaxed ScTcNi crystal.

Summary:
Magnetic moment in μB per atom: 0.00
Calculated volume in Å³ per cell: 91.2
DFT formation energy in eV per atom: -0.0525
VASP energy in eV per cell: -45.27

abc: 2.7821 2.7821 11.7857
angles: 90.00 90.00 90.00
Space group I4mm (No. 107)
Symmetry-distinct sites (fractional):
Sc (0.0000, 0.0000, 0.0000)
Tc (0.0000, 0.0000, 0.6873)
Ni (0.0000, 0.0000, 0.3272)

(19)
The following is a DFT calculation (GGA-PBE) of a relaxed Ce3Si2Tc3 crystal.

Summary:
Magnetic moment in μB per atom: 0.00
Energy relative to the elements, uncorrected in kJ/mol of formula units: -326
Calculated volume in Å³ per cell: 627.1
VASP energy in eV per cell: -252.52

abc: 4.2057 10.2681 14.5205
angles: 90.00 90.00 90.00
Space group Cmcm (No. 63)
Symmetry-distinct sites (fractional):
Ce (0.0000, 0.0976, 0.1180)
Ce (0.0000, 0.3761, 0.2500)
Si (0.0000, 0.1922, 0.5985)
Tc (0.0000, 0.3264, 0.7500)
Tc (0.0000, 0.3757, 0.0182)

(20)
The following is a DFT calculation (GGA-PBE) of a relaxed Ac3ZnN crystal.

Summary:
Magnetic moment in μB per atom: 0.00
Energy relative to the elements, uncorrected in kJ/mol of formula units: -241
Calculated volume in Å³ per cell: 593.1
VASP energy in eV per cell: -97.69

abc: 15.3814 4.0073 9.6220
angles: 90.00 90.47 90.00
Space group C2/m (No. 12)
Symmetry-distinct sites (fractional):
Ac (0.0473, 0.0000, 0.2795)
Ac (0.1478, 0.5000, 0.9762)
Ac (0.2421, 0.0000, 0.6829)
Zn (0.0881, 0.5000, 0.5471)
N (0.2006, 0.0000, 0.1538)

(21)
The following is a DFT calculation (GGA-PBE) of a relaxed NaPr4Si4 crystal.

Summary:
Magnetic moment in μB per atom: 0.00
Energy relative to the elements, uncorrected in kJ/mol of formula units: -327
Calculated volume in Å³ per cell: 473.2
VASP energy in eV per cell: -91.04

abc: 8.7335 8.7335 6.2045
angles: 90.00 90.00 90.00
Space group P4_2/n (No. 86, origin choice 2)
Symmetry-distinct sites (fractional):
Na (0.2500, 0.2500, 0.2500)
Pr (0.0494, 0.6642, 0.0989)
Si (0.0082, 0.6232, 0.5831)